# 1
# ZrCuB4 (PBE, optimized geometry)
# calculated total energy = -6.769 eV/atom
# space group = Immm (71)
# E above lowest polymorph = 0 meV per atom
# total moment = 0.001 Bohr magnetons per cell
data_ZrCuB4
_chemical_formula_sum 'Zr1 Cu1 B4'
_space_group_name_H-M_alt 'P 1'
_space_group_IT_number 1
_cell_length_a 4.7288
_cell_length_b 4.7288
_cell_length_c 4.7288
_cell_angle_alpha 141.58
_cell_angle_beta 114.15
_cell_angle_gamma 78.90
loop_
_space_group_symop_operation_xyz
'x,y,z'
loop_
_atom_site_label
_atom_site_fract_x
_atom_site_fract_y
_atom_site_fract_z
Zr1 0.0000 0.0000 0.0000
Cu1 0.5000 0.5000 0.0000
B1 0.0555 0.7359 0.3196
B2 0.4163 0.7359 0.6804
B3 0.5837 0.2641 0.3196
B4 0.9445 0.2641 0.6804



# 2
# RbTeOs (PBE, optimized geometry)
# calculated total energy = -2.982 eV/atom
# space group = F-43m (216)
# E above lowest polymorph = 933 meV per atom
# total moment = 4.125 Bohr magnetons per cell
data_RbTeOs
_chemical_formula_sum 'Rb1 Te1 Os1'
_space_group_name_H-M_alt 'P 1'
_space_group_IT_number 1
_cell_length_a 5.4656
_cell_length_b 5.4656
_cell_length_c 5.4656
_cell_angle_alpha 60.00
_cell_angle_beta 60.00
_cell_angle_gamma 60.00
loop_
_space_group_symop_operation_xyz
'x,y,z'
loop_
_atom_site_label
_atom_site_fract_x
_atom_site_fract_y
_atom_site_fract_z
Rb1 0.0000 0.0000 0.0000
Te1 0.2500 0.2500 0.2500
Os1 0.7500 0.7500 0.7500



# 3
# Nb2ZnW (PBE, optimized geometry)
# calculated total energy = -8.366 eV/atom
# space group = F-43m (216)
# energy of formation = 22.9 kJ per mole of atoms
# total moment = 0.001 Bohr magnetons per cell
data_Nb2ZnW
_chemical_formula_sum 'Nb2 Zn1 W1'
_space_group_name_H-M_alt 'P 1'
_space_group_IT_number 1
_cell_length_a 4.5553
_cell_length_b 4.5553
_cell_length_c 4.5553
_cell_angle_alpha 60.00
_cell_angle_beta 60.00
_cell_angle_gamma 60.00
loop_
_space_group_symop_operation_xyz
'x,y,z'
loop_
_atom_site_label
_atom_site_fract_x
_atom_site_fract_y
_atom_site_fract_z
Nb1 0.0000 0.0000 0.0000
Nb2 0.2500 0.2500 0.2500
Zn1 0.5000 0.5000 0.5000
W1 0.7500 0.7500 0.7500